First-principles (PBE) data for crystalline La6PmHo at its relaxed geometry, as listed in Alexandria.

Cell and atoms, written as POSCAR:
```
La6PmHo
1.0
5.218 0.000 0.000
0.000 5.218 0.000
0.000 0.000 10.440
La Pm Ho
6 1 1
Direct
0.500 0.500 0.000
0.500 0.500 0.500
0.500 0.000 0.251
0.500 0.000 0.749
0.000 0.500 0.251
0.000 0.500 0.749
0.000 0.000 0.000
0.000 0.000 0.500
```

Summary:
As for the space group: P4/mmm. The size of the total moment is 0.000 μB/atom. As for the density of states at the Fermi level: 1.484 states/eV/atom. The value obtained for the final energy is -4.85 eV per atom. The value obtained for the volume is 35.5 Å³ per atom.